## V2TeF (PBE+U)

Data for V2TeF after structural relaxation.

Results
The total energy is -20.39 eV per formula unit. For the energy above the most stable polymorph in this dataset, the calculation gives 323.6 meV/atom.

a b c (Å): 4.662 4.662 4.662
angles (deg): 60.00 60.00 60.00
Each line ends with the local moment (μB).
Fractional coordinates of all 4 atoms:
F 0.000 0.000 0.000  0.05
V 0.250 0.250 0.250  3.03
Te 0.500 0.500 0.500  -0.21
V 0.750 0.750 0.750  3.03